Nb2GeRuPb: relaxed, PBE-GGA.

Results
Total energy: -25.6 eV/cell
ΔH_f (0 K): 2.43 eV/atom
DOS at the Fermi energy: 7.64 states/eV per cell

Cell lengths 5.1704, 5.1704, 5.0179 Å; angles 90.00, 90.00, 90.00 degrees
Space group P4/mmm (No. 123)
Inequivalent atoms, fractional coordinates:
Nb1 0.0000 0.5000 0.0000 (multiplicity 2)
Ge1 0.0000 0.0000 0.5000 (multiplicity 1)
Ru1 0.5000 0.5000 0.5000 (multiplicity 1)
Pb1 0.0000 0.0000 0.0000 (multiplicity 1)